Here is crystalline Sc2AsPb at its relaxed geometry from Alexandria via LeMat-Bulk. Energies are from PBE.

DOS at the Fermi energy (states/eV per cell): 4.782
ΔE_f (eV per atom): -0.462
ΔE to the lowest computed polymorph (meV/atom): 416
Symmetry: No. 225

abc: 5.011 5.011 5.011
angles: 60.00 60.00 60.00
Fractional positions:
Sc: 0.250 0.250 0.250
Sc: 0.750 0.750 0.750
As: 0.000 0.000 0.000
Pb: 0.500 0.500 0.500


Here is crystalline LiNbMo2H at its relaxed geometry from Alexandria via LeMat-Bulk. Energies are from PBE.

DOS at the Fermi energy (states/eV per cell): 3.747
DFT total energy (eV/atom): -5.46
Symmetry: No. 123

abc: 4.156 4.156 4.396
angles: 90.00 90.00 90.00
Fractional positions:
Li: 0.000 0.000 0.000
Nb: 0.000 0.000 0.500
Mo: 0.000 0.500 0.000
Mo: 0.500 0.000 0.000
H: 0.500 0.500 0.500


Here is crystalline Ba3Sr2UO6 at its relaxed geometry from Alexandria via LeMat-Bulk. Energies are from PBE.

DOS at the Fermi energy (states/eV per cell): 5.778
Energy relative to the elements, uncorrected (eV/atom): -2.539
Symmetry: No. 12

abc: 6.447 6.447 6.763
angles: 99.09 99.09 120.04
Fractional positions:
Ba: 0.000 0.000 0.000
Ba: 0.334 0.666 0.000
Ba: 0.666 0.334 0.000
Sr: 0.167 0.833 0.500
Sr: 0.833 0.167 0.500
U: 0.500 0.500 0.500
O: 0.148 0.436 0.311
O: 0.275 0.275 0.694
O: 0.436 0.148 0.311
O: 0.564 0.852 0.689
O: 0.725 0.725 0.306
O: 0.852 0.564 0.689


Here is crystalline LiIrRhPb at its relaxed geometry from Alexandria via LeMat-Bulk. Energies are from PBE.

DOS at the Fermi energy (states/eV per cell): 1.829
ΔE_f (eV per atom): -0.051
Symmetry: No. 216

abc: 4.482 4.482 4.482
angles: 60.00 60.00 60.00
Fractional positions:
Li: 0.000 0.000 0.000
Ir: 0.250 0.250 0.250
Rh: 0.750 0.750 0.750
Pb: 0.500 0.500 0.500


Here is crystalline Pa3GaCo at its relaxed geometry from Alexandria via LeMat-Bulk. Energies are from PBE.

DOS at the Fermi energy (states/eV per cell): 15.930
ΔE_f (eV per atom): -0.164
Symmetry: No. 1

abc: 5.205 6.374 6.499
angles: 91.67 92.74 92.75
Fractional positions:
Pa: 0.000 0.000 0.000
Pa: 0.017 0.557 0.337
Pa: 0.050 0.108 0.418
Pa: 0.126 0.433 0.882
Pa: 0.513 0.853 0.664
Pa: 0.532 0.295 0.148
Ga: 0.503 0.809 0.186
Ga: 0.588 0.334 0.624
Co: 0.018 0.773 0.663
Co: 0.689 0.604 0.906


Here is crystalline SrLiCa2Cu at its relaxed geometry from Alexandria via LeMat-Bulk. Energies are from PBE.

DOS at the Fermi energy (states/eV per cell): 2.979
ΔE_f (eV per atom): 0.045
ΔE to the lowest computed polymorph (meV/atom): 0
Symmetry: No. 123

abc: 5.663 5.663 5.918
angles: 90.00 90.00 90.00
Fractional positions:
Sr: 0.000 0.000 0.000
Li: 0.500 0.500 0.000
Ca: 0.000 0.500 0.500
Ca: 0.500 0.000 0.500
Cu: 0.000 0.000 0.500


Here is crystalline Co2HgW at its relaxed geometry from Alexandria via LeMat-Bulk. Energies are from PBE.

DOS at the Fermi energy (states/eV per cell): 4.427
ΔE_f (eV per atom): 0.273
Symmetry: No. 47

abc: 2.975 3.178 6.163
angles: 90.00 90.00 90.00
Fractional positions:
Co: 0.000 0.000 0.205
Co: 0.000 0.000 0.795
Hg: 0.500 0.500 0.500
W: 0.500 0.500 0.000


Here is crystalline TbTh2ZrAs4 at its relaxed geometry from Alexandria via LeMat-Bulk. Energies are from PBE.

DOS at the Fermi energy (states/eV per cell): 3.173
ΔE_f (eV per atom): -1.343
Symmetry: No. 10

abc: 7.110 4.135 7.175
angles: 90.00 109.51 90.00
Fractional positions:
Tb: 0.000 0.000 0.000
Th: 0.500 0.000 0.500
Th: 0.500 0.500 0.000
Zr: 0.000 0.500 0.500
As: 0.232 0.000 0.738
As: 0.237 0.500 0.252
As: 0.763 0.500 0.748
As: 0.768 0.000 0.262


Here is crystalline Hg2TeS at its relaxed geometry from Alexandria via LeMat-Bulk. Energies are from PBE.

DOS at the Fermi energy (states/eV per cell): 0.029
Energy relative to the elements, uncorrected (eV/atom): -0.136
ΔE to the lowest computed polymorph (meV/atom): 0
Symmetry: No. 122

abc: 7.722 7.722 7.722
angles: 131.64 131.64 70.80
Fractional positions:
Hg: 0.093 0.625 0.968
Hg: 0.375 0.343 0.468
Hg: 0.657 0.125 0.032
Hg: 0.875 0.907 0.532
Te: 0.250 0.750 0.500
Te: 0.500 0.500 0.000
S: 0.000 0.000 0.000
S: 0.750 0.250 0.500


Here is crystalline Na2NiHgI at its relaxed geometry from Alexandria via LeMat-Bulk. Energies are from PBE.

DOS at the Fermi energy (states/eV per cell): 1.901
Energy relative to the elements, uncorrected (eV/atom): -0.037
Symmetry: No. 123

abc: 5.659 5.659 4.807
angles: 90.00 90.00 90.00
Fractional positions:
Na: 0.000 0.500 0.000
Na: 0.500 0.000 0.000
Ni: 0.000 0.000 0.000
Hg: 0.500 0.500 0.500
I: 0.000 0.000 0.500


Here is crystalline Na2NpS3 at its relaxed geometry from Alexandria via LeMat-Bulk. Energies are from PBE.

DOS at the Fermi energy (states/eV per cell): 15.046
Energy relative to the elements, uncorrected (eV/atom): -1.328
ΔE to the lowest computed polymorph (meV/atom): 0
Symmetry: No. 12

abc: 6.956 6.956 7.007
angles: 99.62 99.62 119.99
Fractional positions:
Na: 0.000 0.000 0.000
Na: 0.160 0.840 0.500
Na: 0.500 0.500 0.500
Na: 0.840 0.160 0.500
Np: 0.333 0.667 0.000
Np: 0.667 0.333 0.000
S: 0.076 0.433 0.225
S: 0.281 0.281 0.773
S: 0.433 0.076 0.225
S: 0.567 0.924 0.775
S: 0.719 0.719 0.227
S: 0.924 0.567 0.775


Here is crystalline TbZrZnAg at its relaxed geometry from Alexandria via LeMat-Bulk. Energies are from PBE.

DOS at the Fermi energy (states/eV per cell): 3.609
ΔE_f (eV per atom): -0.146
Symmetry: No. 216

abc: 4.968 4.968 4.968
angles: 60.00 60.00 60.00
Fractional positions:
Tb: 0.000 0.000 0.000
Zr: 0.500 0.500 0.500
Zn: 0.750 0.750 0.750
Ag: 0.250 0.250 0.250